(1)
The following is a PBE calculation of a relaxed structure of ScZnInTe3, from OQMD via LeMat-Bulk.

calculated volume = 177.4 Å³/f.u.

Unit cell a=7.8712 b=7.8712 c=11.0909 alpha=90.00 beta=90.00 gamma=148.91
Closest atoms and distances in Å follow each position.
Fractional coordinates of all 12 atoms:
Sc: 0.0000 0.0000 0.0000  6 Te 2.97-2.99
Sc: 0.0000 0.0000 0.5000  6 Te 2.97-2.99
Zn: 0.4635 0.5365 0.7500  4 Te 2.65-2.70
Zn: 0.5365 0.4635 0.2500  4 Te 2.65-2.70
In: 0.2415 0.7585 0.2500  8 Te 3.47-3.84, 2 Zn 3.76
In: 0.7585 0.2415 0.7500  8 Te 3.47-3.84, 2 Zn 3.76
Te: 0.0745 0.9255 0.7500  2 Zn 2.70, 2 Sc 2.99
Te: 0.3670 0.6330 0.5510  1 Zn 2.65
Te: 0.3670 0.6330 0.9490  1 Zn 2.65
Te: 0.6330 0.3670 0.0510  1 Zn 2.65
Te: 0.6330 0.3670 0.4490  1 Zn 2.65
Te: 0.9255 0.0745 0.2500  2 Zn 2.70, 2 Sc 2.99

(2)
The following is a PBE calculation of a relaxed structure of ScZnInTe3, from OQMD via LeMat-Bulk.

calculated volume = 179.9 Å³/f.u.

Unit cell a=10.3170 b=4.3059 c=16.1944 alpha=90.00 beta=90.00 gamma=90.00
Closest atoms and distances in Å follow each position.
Fractional coordinates of all 24 atoms:
Sc: 0.1750 0.2500 0.0427  6 Te 2.87-3.02
Sc: 0.3250 0.7500 0.5427  6 Te 2.87-3.02
Sc: 0.6750 0.2500 0.4573  6 Te 2.87-3.02
Sc: 0.8250 0.7500 0.9573  6 Te 2.87-3.02
Zn: 0.1739 0.7500 0.8532  4 Te 2.59-2.85
Zn: 0.3261 0.2500 0.3532  4 Te 2.59-2.85
Zn: 0.6739 0.7500 0.6468  4 Te 2.59-2.85
Zn: 0.8261 0.2500 0.1468  4 Te 2.59-2.85
In: 0.0565 0.7500 0.3071  3 Te 3.23-3.30, 2 Zn 3.60
In: 0.4435 0.2500 0.8071  3 Te 3.23-3.30, 2 Zn 3.60
In: 0.5565 0.7500 0.1929  3 Te 3.23-3.30, 2 Zn 3.60
In: 0.9435 0.2500 0.6929  3 Te 3.23-3.30, 2 Zn 3.60
Te: 0.0041 0.2500 0.8928  2 Zn 2.85, 3 Sc 3.00-3.02
Te: 0.1638 0.2500 0.4760  1 Zn 2.60
Te: 0.1768 0.7500 0.6930  1 Zn 2.59, 1 Sc 2.87
Te: 0.3232 0.2500 0.1930  1 Zn 2.59, 1 Sc 2.87
Te: 0.3362 0.7500 0.9760  1 Zn 2.60
Te: 0.4959 0.7500 0.3928  2 Zn 2.85, 3 Sc 3.00-3.02
Te: 0.5041 0.2500 0.6072  2 Zn 2.85, 3 Sc 3.00-3.02
Te: 0.6638 0.2500 0.0240  1 Zn 2.60
Te: 0.6768 0.7500 0.8070  1 Zn 2.59, 1 Sc 2.87
Te: 0.8232 0.2500 0.3070  1 Zn 2.59, 1 Sc 2.87
Te: 0.8362 0.7500 0.5240  1 Zn 2.60
Te: 0.9959 0.7500 0.1072  2 Zn 2.85, 3 Sc 3.00-3.02

It is (1) that is the most stable of them.

(1)
The following is a PBE calculation of a relaxed structure of LiAlFeMo, from OQMD via LeMat-Bulk.

calculated volume = 49.7 Å³/f.u.

Unit cell a=4.1264 b=4.1264 c=4.1264 alpha=60.00 beta=60.00 gamma=60.00
Closest atoms and distances in Å follow each position.
Fractional coordinates of all 4 atoms:
Li: 0.0000 0.0000 0.0000  4 Mo 2.53, 4 Al 2.53
Al: 0.2500 0.2500 0.2500  4 Fe 2.53, 4 Li 2.53
Fe: 0.5000 0.5000 0.5000  4 Mo 2.53, 4 Al 2.53
Mo: 0.7500 0.7500 0.7500  4 Fe 2.53, 4 Li 2.53

(2)
The following is a PBE calculation of a relaxed structure of LiAlFeMo, from OQMD via LeMat-Bulk.

calculated volume = 54.4 Å³/f.u.

Unit cell a=4.2528 b=4.2528 c=4.2528 alpha=60.00 beta=60.00 gamma=60.00
Closest atoms and distances in Å follow each position.
Fractional coordinates of all 4 atoms:
Li: 0.0000 0.0000 0.0000  4 Fe 2.60, 4 Mo 2.60
Al: 0.5000 0.5000 0.5000  4 Fe 2.60, 4 Mo 2.60
Fe: 0.7500 0.7500 0.7500  4 Al 2.60, 4 Li 2.60
Mo: 0.2500 0.2500 0.2500  4 Al 2.60, 4 Li 2.60

It is (1) that is the most stable of them.

(1)
The following is a PBE calculation of a relaxed structure of CsLaHf, from OQMD via LeMat-Bulk.

calculated volume = 106.4 Å³/f.u.

Unit cell a=5.3194 b=5.3194 c=5.3194 alpha=60.00 beta=60.00 gamma=60.00
Closest atoms and distances in Å follow each position.
Fractional coordinates of all 3 atoms:
Cs: 0.0000 0.0000 0.0000  4 Hf 3.26, 4 La 3.26
La: 0.2500 0.2500 0.2500  4 Cs 3.26
Hf: 0.7500 0.7500 0.7500  4 Cs 3.26

(2)
The following is a PBE calculation of a relaxed structure of CsLaHf, from OQMD via LeMat-Bulk.

calculated volume = 134.9 Å³/f.u.

Unit cell a=5.7562 b=5.7562 c=5.7562 alpha=60.00 beta=60.00 gamma=60.00
Closest atoms and distances in Å follow each position.
Fractional coordinates of all 3 atoms:
Cs: 0.0000 0.0000 0.0000  4 Hf 3.52
La: 0.5000 0.5000 0.5000  4 Hf 3.52
Hf: 0.2500 0.2500 0.2500  4 La 3.52, 4 Cs 3.52

It is (2) that is the most stable of them.